# AlV2Au | Alexandria via LeMat-Bulk | PBE-GGA | optimized geometry
# E_tot = -26.12 eV per cell
# energy of formation from the pure elements = -83.3 kJ/mol of formula units
# DOS at the Fermi energy = 2.86 states/eV/f.u.
# volume = 14.74 Å³/atom
# ρ = 9.18 g/cm³
data_AlV2Au
_cell_length_a 3.7027
_cell_length_b 3.7027
_cell_length_c 4.2996
_cell_angle_alpha 90.00
_cell_angle_beta 90.00
_cell_angle_gamma 90.00
_space_group_name_H-M_alt 'P 4/m m m'
_space_group_IT_number 123
_space_group_name_Hall '-P 4 2'
loop_
_atom_site_label
_atom_site_type_symbol
_atom_site_fract_x
_atom_site_fract_y
_atom_site_fract_z
Al1 Al 0.0000 0.0000 0.0000
V1 V 0.0000 0.5000 0.5000
Au1 Au 0.5000 0.5000 0.0000

***

# Al2V2Au | Alexandria via LeMat-Bulk | PBE-GGA | optimized geometry
# E_tot = -57.94 eV per cell
# energy of formation from the pure elements = 3.0 kJ/mol of formula units
# excess energy over the best structure of this formula in the dataset = 49.9 meV/atom
# DOS at the Fermi energy = 3.84 states/eV/f.u.
# volume = 16.89 Å³/atom
# ρ = 6.94 g/cm³
data_Al2V2Au
_cell_length_a 4.2818
_cell_length_b 7.1890
_cell_length_c 5.4875
_cell_angle_alpha 90.00
_cell_angle_beta 90.00
_cell_angle_gamma 90.00
_space_group_name_H-M_alt 'C m m m'
_space_group_IT_number 65
_space_group_name_Hall '-C 2 2'
loop_
_atom_site_label
_atom_site_type_symbol
_atom_site_fract_x
_atom_site_fract_y
_atom_site_fract_z
Al1 Al 0.0000 0.0000 0.2387
V1 V 0.0000 0.3382 0.0000
Au1 Au 0.0000 0.5000 0.5000

***

# Al4VAu2 | Alexandria via LeMat-Bulk | PBE-GGA | optimized geometry
# E_tot = -56.94 eV per cell
# energy of formation from the pure elements = 209.8 kJ/mol of formula units
# DOS at the Fermi energy = 4.42 states/eV/f.u.
# volume = 20.59 Å³/atom
# ρ = 6.37 g/cm³
data_Al4VAu2
_cell_length_a 4.7603
_cell_length_b 4.7603
_cell_length_c 12.7238
_cell_angle_alpha 90.00
_cell_angle_beta 90.00
_cell_angle_gamma 90.00
_space_group_name_H-M_alt 'I 4/m m m'
_space_group_IT_number 139
_space_group_name_Hall '-I 4 2'
loop_
_atom_site_label
_atom_site_type_symbol
_atom_site_fract_x
_atom_site_fract_y
_atom_site_fract_z
Al1 Al 0.0000 0.0000 0.1933
Al2 Al 0.0000 0.5000 0.0000
V1 V 0.0000 0.0000 0.0000
Au1 Au 0.0000 0.0000 0.3865

***

# AlV2Au | Alexandria via LeMat-Bulk | PBE-GGA | optimized geometry
# E_tot = -95.37 eV per cell
# energy of formation from the pure elements = 136.4 kJ/mol of formula units
# DOS at the Fermi energy = 2.35 states/eV/f.u.
# volume = 16.31 Å³/atom
# ρ = 8.29 g/cm³
data_AlV2Au
_cell_length_a 7.1599
_cell_length_b 7.1599
_cell_length_c 5.0912
_cell_angle_alpha 90.00
_cell_angle_beta 90.00
_cell_angle_gamma 90.00
_space_group_name_H-M_alt 'I -4 2 d'
_space_group_IT_number 122
_space_group_name_Hall 'I -4 2bw'
loop_
_atom_site_label
_atom_site_type_symbol
_atom_site_fract_x
_atom_site_fract_y
_atom_site_fract_z
Al1 Al 0.0000 0.0000 0.0000
V1 V 0.2486 0.2500 0.6250
Au1 Au 0.0000 0.0000 0.5000

***

Number 1: magnetic moment 0.000 μB/atom. Number 2: magnetic moment 0.003 μB/atom. Number 3: magnetic moment 0.000 μB/atom. Number 4: magnetic moment 0.000 μB/atom.